# 1
A plane-wave DFT calculation with GGA-PBE was carried out for crystalline CeO2 at its relaxed geometry.

Output
ΔE_f (raw): -3.342 eV per atom
Crystal system: tetragonal
Energy: -0.634 Ry/atom
Mass density: 5.9 g/cm3
Calculated volume: 48.1 Å³/f.u.
Total magnetization: 0.0 μB per cell

Lattice parameters (Å, degrees): 5.1471 5.1471 3.6281 90.00 90.00 90.00
With the nearest neighbours (Å) after each atom.
Space group P4_2/mnm (No. 136)
Symmetry-distinct sites (fractional):
Ce: 0.0000 0.0000 0.0000 (multiplicity 2)  6 O 2.27-2.28
O: 0.1874 0.1874 0.5000 (multiplicity 4)  3 Ce 2.27-2.28


# 2
A plane-wave DFT calculation with GGA-PBE was carried out for crystalline TmTeRuO6 at its relaxed geometry.

Output
ΔE_f (raw): -1.492 eV per atom
Crystal system: trigonal
Energy: -0.491 Ry/atom
Mass density: 7.5 g/cm3
Calculated volume: 109.7 Å³/f.u.
Total magnetization: 2.0 μB per cell

Lattice parameters (Å, degrees): 5.4220 5.4220 8.6176 90.00 90.00 120.00
With the nearest neighbours (Å) after each atom.
Space group P-31c (No. 163)
Symmetry-distinct sites (fractional):
Tm: 0.3333 0.6667 0.2500 (multiplicity 2)  6 O 2.22
Te: 0.3333 0.6667 0.7500 (multiplicity 2)  6 O 2.02
Ru: 0.0000 0.0000 0.0000 (multiplicity 2)  6 O 2.09
O: 0.0289 0.3445 0.6243 (multiplicity 12)  1 Te 2.02, 1 Ru 2.09, 1 Tm 2.22


# 3
A plane-wave DFT calculation with GGA-PBE was carried out for crystalline GdHo3Ni at its relaxed geometry.

Output
Crystal system: cubic
Energy: -0.499 Ry/atom
Mass density: 8.0 g/cm3
Calculated volume: 147.6 Å³/f.u.
Total magnetization: 8.1 μB per cell
E_form: -0.072 eV/atom

Lattice parameters (Å, degrees): 5.2852 5.2852 5.2852 90.00 90.00 90.00
With the nearest neighbours (Å) after each atom.
Space group Pm-3m (No. 221)
Symmetry-distinct sites (fractional):
Gd: 0.0000 0.0000 0.0000 (multiplicity 1)  12 Ho 3.74
Ho: 0.0000 0.5000 0.5000 (multiplicity 3)  2 Ni 2.64
Ni: 0.5000 0.5000 0.5000 (multiplicity 1)  6 Ho 2.64


# 4
A plane-wave DFT calculation with GGA-PBE was carried out for crystalline BeRe2TeBr at its relaxed geometry.

Output
ΔE_f (raw): 2.489 eV per atom
Crystal system: tetragonal
Energy: -0.309 Ry/atom
Mass density: 7.0 g/cm3
Calculated volume: 140.5 Å³/f.u.
Total magnetization: 3.6 μB per cell

Lattice parameters (Å, degrees): 4.9500 4.9500 5.7357 90.00 90.00 90.00
With the nearest neighbours (Å) after each atom.
Space group P4/mmm (No. 123)
Symmetry-distinct sites (fractional):
Be: 0.0000 0.0000 0.0000 (multiplicity 1)  4 Br 3.50, 8 Re 3.79
Re: 0.0000 0.5000 0.5000 (multiplicity 2)  2 Te 2.47
Te: 0.5000 0.5000 0.5000 (multiplicity 1)  4 Re 2.47
Br: 0.5000 0.5000 0.0000 (multiplicity 1)  2 Te 2.87


# 5
A plane-wave DFT calculation with GGA-PBE was carried out for crystalline Ac2PmAs3Pt12 at its relaxed geometry.

Output
Crystal system: trigonal
Energy: -0.430 Ry/atom
Mass density: 13.1 g/cm3
Calculated volume: 401.1 Å³/f.u.
Total magnetization: 0.0 μB per cell
E_form: -0.322 eV/atom

Lattice parameters (Å, degrees): 8.5278 8.5278 19.1067 90.00 90.00 120.00
With the nearest neighbours (Å) after each atom.
Space group R-3m (No. 166, hexagonal axes)
Symmetry-distinct sites (fractional):
Ac: 0.0000 0.0000 0.1053 (multiplicity 6)  6 Pt 2.97-3.03
Pm: 0.0000 0.0000 0.5000 (multiplicity 3)  6 Pt 2.76
As: 0.0000 0.5000 0.0000 (multiplicity 9)  6 Pt 2.43-2.44
Pt: 0.0262 0.5131 0.8726 (multiplicity 18)  1 As 2.44
Pt: 0.0284 0.5142 0.3636 (multiplicity 18)  2 As 2.43


# 6
A plane-wave DFT calculation with GGA-PBE was carried out for crystalline CaIn2HgBr8 at its relaxed geometry.

Output
ΔE_f (raw): -1.001 eV per atom
Crystal system: trigonal
Energy: -0.203 Ry/atom
Mass density: 3.8 g/cm3
Calculated volume: 481.3 Å³/f.u.
Total magnetization: 0.0 μB per cell

Lattice parameters (Å, degrees): 7.1652 7.1652 32.4735 90.00 90.00 120.00
With the nearest neighbours (Å) after each atom.
Space group R-3 (No. 148, hexagonal axes)
Symmetry-distinct sites (fractional):
Ca: 0.0000 0.0000 0.0000 (multiplicity 3)  6 Br 2.94
In: 0.0000 0.0000 0.2519 (multiplicity 6)  4 Br 2.47-2.59
Hg: 0.0000 0.0000 0.5000 (multiplicity 3)  12 Br 4.15-4.40
Br: 0.0000 0.0000 0.1758 (multiplicity 6)  1 In 2.47
Br: 0.0008 0.6723 0.6144 (multiplicity 18)  1 In 2.59


# 7
A plane-wave DFT calculation with GGA-PBE was carried out for crystalline CaRu3 at its relaxed geometry.

Output
Crystal system: orthorhombic
Energy: -0.516 Ry/atom
Mass density: 8.5 g/cm3
Calculated volume: 67.1 Å³/f.u.
Total magnetization: 0.0 μB per cell
E_form: 0.430 eV/atom

Lattice parameters (Å, degrees): 2.8060 4.4058 5.4274 90.00 90.00 90.00
With the nearest neighbours (Å) after each atom.
Space group Pmm2 (No. 25)
Symmetry-distinct sites (fractional):
Ca: 0.0000 0.0000 0.0000 (multiplicity 1)  2 Ca 2.81, 10 Ru 2.88-3.06
Ru: 0.0000 0.5000 0.3417 (multiplicity 1)  8 Ru 2.61-2.81, 2 Ca 2.88
Ru: 0.5000 0.0000 0.5003 (multiplicity 1)  8 Ru 2.58-2.81
Ru: 0.5000 0.5000 0.7479 (multiplicity 1)  6 Ru 2.58-2.81


# 8
A plane-wave DFT calculation with GGA-PBE was carried out for crystalline Ac2AlAu7 at its relaxed geometry.

Output
Crystal system: tetragonal
Energy: -0.298 Ry/atom
Mass density: 13.2 g/cm3
Calculated volume: 233.3 Å³/f.u.
Total magnetization: 0.0 μB per cell
E_form: -0.570 eV/atom

Lattice parameters (Å, degrees): 4.2462 4.2462 12.9371 90.00 90.00 90.00
With the nearest neighbours (Å) after each atom.
Space group P-4m2 (No. 115)
Symmetry-distinct sites (fractional):
Ac: 0.0000 0.5000 0.2494 (multiplicity 2)  8 Au 3.28-3.34
Al: 0.0000 0.0000 0.5000 (multiplicity 1)  8 Au 2.78-3.00
Au: 0.0000 0.0000 0.0000 (multiplicity 1)  8 Au 2.85-3.00
Au: 0.0000 0.5000 0.6383 (multiplicity 2)  3 Au 2.78, 2 Al 2.78
Au: 0.0000 0.5000 0.8530 (multiplicity 2)  5 Au 2.78-2.85
Au: 0.5000 0.5000 0.0000 (multiplicity 1)  8 Au 2.85-3.00
Au: 0.5000 0.5000 0.5000 (multiplicity 1)  4 Au 2.78, 4 Al 3.00